## ZrSc2Ta (PBE-GGA)

Data for an optimized crystal structure of ZrSc2Ta.

Unit cell a=4.9646 b=5.9949 c=5.9949 alpha=29.58 beta=90.00 gamma=90.00
With the nearest neighbours (Å) after each atom.
Element x y z (fractional)
Zr 0.0000 0.0000 0.0000  2 Ta 2.82, 2 Zr 3.06, 3 Sc 3.09-3.11
Sc 0.0000 0.2686 0.2686  6 Sc 3.06-3.37, 3 Zr 3.09-3.11, 4 Ta 3.21
Sc 0.5000 0.6222 0.6222  3 Ta 3.04-3.15, 6 Sc 3.06-3.37, 4 Zr 3.24
Ta 0.5000 0.8843 0.8843  2 Zr 2.82, 3 Sc 3.04-3.15, 2 Ta 3.06

As for the symmetry: No. 38. For the formation energy, the calculation gives 2.07 kcal/mol of atoms.

=====

## Sm2Cu6Si3 (PBE-GGA)

Data for an optimized crystal structure of Sm2Cu6Si3.

Unit cell a=7.2250 b=7.2250 c=4.0015 alpha=90.00 beta=90.00 gamma=120.00
With the nearest neighbours (Å) after each atom.
Element x y z (fractional)
Sm 0.3333 0.6667 0.0000  9 Cu 3.03-3.24, 6 Si 3.05
Sm 0.6667 0.3333 0.0000  9 Cu 3.03-3.24, 6 Si 3.05
Cu 0.0000 0.1962 0.0000  2 Si 2.34, 2 Cu 2.46
Cu 0.0000 0.7024 0.5000  3 Si 2.43-2.44
Cu 0.1962 0.0000 0.0000  2 Si 2.34, 2 Cu 2.46
Cu 0.2976 0.2976 0.5000  3 Si 2.43-2.44
Cu 0.7024 0.0000 0.5000  3 Si 2.43-2.44
Cu 0.8038 0.8038 0.0000  2 Si 2.34, 2 Cu 2.46
Si 0.0000 0.3649 0.5000  5 Cu 2.34-2.44
Si 0.3649 0.0000 0.5000  5 Cu 2.34-2.44
Si 0.6351 0.6351 0.5000  5 Cu 2.34-2.44

For the formation energy (no corrections), the calculation gives -4.09 eV/f.u. As for the symmetry: No. 189.

=====

## UH8PdPt2 (PBE-GGA)

Data for an optimized crystal structure of UH8PdPt2.

Unit cell a=4.9008 b=4.9008 c=6.1140 alpha=90.00 beta=90.00 gamma=120.00
With the nearest neighbours (Å) after each atom.
Element x y z (fractional)
U 0.0000 0.0000 0.0000  6 H 2.45
H 0.1670 0.3341 0.3263  1 Pd 1.77, 1 Pt 1.82
H 0.1670 0.8330 0.3263  1 Pd 1.77, 1 Pt 1.82
H 0.3333 0.6667 0.8720  1 Pt 1.63
H 0.3341 0.1670 0.6737  1 Pd 1.77, 1 Pt 1.82
H 0.6659 0.8330 0.3263  1 Pd 1.77, 1 Pt 1.82
H 0.6667 0.3333 0.1280  1 Pt 1.63
H 0.8330 0.1670 0.6737  1 Pd 1.77, 1 Pt 1.82
H 0.8330 0.6659 0.6737  1 Pd 1.77, 1 Pt 1.82
Pd 0.0000 0.0000 0.5000  6 H 1.77
Pt 0.3333 0.6667 0.1388  4 H 1.63-1.82
Pt 0.6667 0.3333 0.8612  4 H 1.63-1.82

As for the symmetry: No. 164.

=====

## MnP2W (PBE-GGA)

Data for an optimized crystal structure of MnP2W.

Unit cell a=2.7030 b=2.7030 c=9.2287 alpha=90.00 beta=90.00 gamma=104.31
With the nearest neighbours (Å) after each atom.
Element x y z (fractional)
Mn 0.0000 0.0000 0.0000  2 P 2.32
P 0.0000 0.0000 0.5714  2 W 2.52, 4 P 2.70
P 0.5000 0.5000 0.1751  2 Mn 2.32
W 0.5000 0.5000 0.7777  2 P 2.52, 2 Mn 2.64, 4 W 2.70

As for the symmetry: No. 35. For the formation energy, the calculation gives 3.37 kcal/mol of atoms.

=====

## Rb2TiRh (PBE-GGA)

Data for an optimized crystal structure of Rb2TiRh.

Unit cell a=5.6596 b=5.6596 c=5.6596 alpha=60.00 beta=60.00 gamma=60.00
With the nearest neighbours (Å) after each atom.
Element x y z (fractional)
Rb 0.2500 0.2500 0.2500  4 Rh 3.47, 4 Ti 3.47
Rb 0.7500 0.7500 0.7500  4 Rh 3.47, 4 Ti 3.47
Ti 0.0000 0.0000 0.0000  8 Rb 3.47
Rh 0.5000 0.5000 0.5000  8 Rb 3.47

As for the symmetry: No. 225. For the formation energy, the calculation gives 34.12 kcal/mol of atoms.

=====

## K2TiAlS5 (PBE-GGA)

Data for an optimized crystal structure of K2TiAlS5.

Unit cell a=9.5810 b=9.5810 c=13.5407 alpha=90.00 beta=90.00 gamma=158.30
With the nearest neighbours (Å) after each atom.
Element x y z (fractional)
K 0.1189 0.8811 0.5000  5 S 3.18-3.33
K 0.1350 0.8650 0.1233  7 S 3.21-3.44
K 0.8650 0.1350 0.6233  7 S 3.21-3.44
K 0.8811 0.1189 0.0000  5 S 3.18-3.33
Ti 0.2179 0.7821 0.8326  3 S 2.21-2.41
Ti 0.7821 0.2179 0.3326  3 S 2.21-2.41
Al 0.4250 0.5750 0.2535  4 S 2.21-2.30
Al 0.5750 0.4250 0.7535  4 S 2.21-2.30
S 0.0679 0.9321 0.8552  2 Al 2.27
S 0.2920 0.7080 0.4497  2 Ti 2.41
S 0.3082 0.6918 0.2046  1 Al 2.30, 2 Ti 2.55
S 0.3348 0.6652 0.8178  1 Ti 2.21
S 0.4939 0.5061 0.1212  1 Al 2.21
S 0.5061 0.4939 0.6212  1 Al 2.21
S 0.6652 0.3348 0.3178  1 Ti 2.21
S 0.6918 0.3082 0.7046  1 Al 2.30, 2 Ti 2.55
S 0.7080 0.2920 0.9497  2 Ti 2.41
S 0.9321 0.0679 0.3552  2 Al 2.27

For the formation energy (no corrections), the calculation gives -10.06 eV/f.u. As for the symmetry: No. 36.

=====

## Ac3Pm (PBE-GGA)

Data for an optimized crystal structure of Ac3Pm.

Unit cell a=6.2307 b=6.2307 c=6.2307 alpha=60.00 beta=60.00 gamma=60.00
With the nearest neighbours (Å) after each atom.
Element x y z (fractional)
Ac 0.0000 0.0000 0.0000  8 Ac 3.82
Ac 0.2500 0.2500 0.2500  4 Pm 3.82, 4 Ac 3.82
Ac 0.7500 0.7500 0.7500  4 Pm 3.82, 4 Ac 3.82
Pm 0.5000 0.5000 0.5000  8 Ac 3.82

As for the symmetry: No. 225. For the formation energy, the calculation gives 3.48 kcal/mol of atoms. Its polymorph energy (0 for the lowest one) is 127 meV/atom.

=====

## SnPt2Au2 (PBE-GGA)

Data for an optimized crystal structure of SnPt2Au2.

Unit cell a=6.9254 b=6.9254 c=3.9506 alpha=90.00 beta=90.00 gamma=90.00
With the nearest neighbours (Å) after each atom.
Element x y z (fractional)
Sn 0.0000 0.0000 0.0000  4 Pt 2.68
Sn 0.5000 0.5000 0.0000  4 Pt 2.68
Pt 0.1396 0.3604 0.0000  2 Sn 2.68, 1 Pt 2.73, 6 Au 2.79-2.86
Pt 0.3604 0.8604 0.0000  2 Sn 2.68, 1 Pt 2.73, 6 Au 2.79-2.86
Pt 0.6396 0.1396 0.0000  2 Sn 2.68, 1 Pt 2.73, 6 Au 2.79-2.86
Pt 0.8604 0.6396 0.0000  2 Sn 2.68, 1 Pt 2.73, 6 Au 2.79-2.86
Au 0.1589 0.6589 0.5000  6 Pt 2.79-2.86, 1 Au 3.11
Au 0.3411 0.1589 0.5000  6 Pt 2.79-2.86, 1 Au 3.11
Au 0.6589 0.8411 0.5000  6 Pt 2.79-2.86, 1 Au 3.11
Au 0.8411 0.3411 0.5000  6 Pt 2.79-2.86, 1 Au 3.11

As for the symmetry: No. 127. For the formation energy, the calculation gives -2.61 kcal/mol of atoms. Its polymorph energy (0 for the lowest one) is 0 meV/atom.

=====

## Ce5PuPt5 (PBE-GGA)

Data for an optimized crystal structure of Ce5PuPt5.

Unit cell a=7.1296 b=7.1296 c=8.2891 alpha=106.97 beta=106.97 gamma=48.10
With the nearest neighbours (Å) after each atom.
Element x y z (fractional)
Ce 0.0000 0.0000 0.0000  4 Pt 2.87-2.90
Ce 0.3278 0.3278 0.1695  5 Pt 2.87-2.93
Ce 0.3304 0.3304 0.6603  5 Pt 2.91-2.94
Ce 0.6696 0.6696 0.3397  5 Pt 2.91-2.94
Ce 0.6722 0.6722 0.8305  5 Pt 2.87-2.93
Pu 0.0000 0.0000 0.5000  6 Pt 2.89-2.92
Pt 0.1623 0.1623 0.3298  5 Ce 2.87-2.91, 1 Pu 2.89
Pt 0.1659 0.1659 0.8348  5 Ce 2.90-2.94, 1 Pu 2.92
Pt 0.5000 0.5000 0.5000  2 Pu 2.91, 4 Ce 2.92-2.93
Pt 0.8341 0.8341 0.1652  5 Ce 2.90-2.94, 1 Pu 2.92
Pt 0.8377 0.8377 0.6702  5 Ce 2.87-2.91, 1 Pu 2.89

As for the symmetry: No. 12. For the formation energy, the calculation gives -19.82 kcal/mol of atoms.

=====

## FeHg2Cl (PBE-GGA)

Data for an optimized crystal structure of FeHg2Cl.

Unit cell a=7.0864 b=7.0864 c=7.0864 alpha=95.13 beta=95.13 gamma=145.19
With the nearest neighbours (Å) after each atom.
Element x y z (fractional)
Fe 0.0000 0.0000 0.0000  2 Cl 2.12
Fe 0.7500 0.2500 0.5000  2 Cl 2.12
Hg 0.0038 0.6250 0.8788  2 Fe 2.74
Hg 0.3750 0.2538 0.3788  2 Fe 2.74
Hg 0.7462 0.1250 0.1212  2 Fe 2.74
Hg 0.8750 0.9962 0.6212  2 Fe 2.74
Cl 0.2500 0.7500 0.5000  2 Fe 2.12
Cl 0.5000 0.5000 0.0000  2 Fe 2.12

For the formation energy (no corrections), the calculation gives 1.27 eV/f.u. As for the symmetry: No. 122. Its polymorph energy (0 for the lowest one) is 353 meV/atom.

=====

## LiCd3Ag6 (PBE-GGA)

Data for an optimized crystal structure of LiCd3Ag6.

Unit cell a=8.6542 b=8.6542 c=5.5410 alpha=90.00 beta=90.00 gamma=107.39
With the nearest neighbours (Å) after each atom.
Element x y z (fractional)
Li 0.1703 0.8297 0.5000  5 Ag 2.68-2.94, 1 Cd 3.00
Li 0.8297 0.1703 0.0000  5 Ag 2.68-2.94, 1 Cd 3.00
Cd 0.1309 0.2845 0.3737  7 Ag 2.78-3.08, 1 Cd 3.07
Cd 0.2845 0.1309 0.8737  7 Ag 2.78-3.08, 1 Cd 3.07
Cd 0.3840 0.6160 0.4462  1 Li 3.00, 2 Cd 3.07, 8 Ag 3.10-3.25
Cd 0.6160 0.3840 0.9462  1 Li 3.00, 2 Cd 3.07, 8 Ag 3.10-3.25
Cd 0.7155 0.8691 0.3737  7 Ag 2.78-3.08, 1 Cd 3.07
Cd 0.8691 0.7155 0.8737  7 Ag 2.78-3.08, 1 Cd 3.07
Ag 0.0205 0.4986 0.6683  6 Ag 2.79-3.03, 2 Cd 2.83-2.84, 1 Li 2.92
Ag 0.0294 0.9706 0.1723  2 Li 2.68-2.94, 4 Cd 2.78-2.82, 2 Ag 2.89
Ag 0.2311 0.7689 0.9746  2 Li 2.76-3.03, 7 Ag 2.87-3.02, 2 Cd 3.08
Ag 0.2782 0.4486 0.9395  3 Cd 2.79-3.10, 4 Ag 2.80-3.03
Ag 0.4486 0.2782 0.4395  3 Cd 2.79-3.10, 4 Ag 2.80-3.03
Ag 0.4986 0.0205 0.1683  6 Ag 2.79-3.03, 2 Cd 2.83-2.84, 1 Li 2.92
Ag 0.5014 0.9795 0.6683  6 Ag 2.79-3.03, 2 Cd 2.83-2.84, 1 Li 2.92
Ag 0.5514 0.7218 0.9395  3 Cd 2.79-3.10, 4 Ag 2.80-3.03
Ag 0.7218 0.5514 0.4395  3 Cd 2.79-3.10, 4 Ag 2.80-3.03
Ag 0.7689 0.2311 0.4746  2 Li 2.76-3.03, 7 Ag 2.87-3.02, 2 Cd 3.08
Ag 0.9706 0.0294 0.6723  2 Li 2.68-2.94, 4 Cd 2.78-2.82, 2 Ag 2.89
Ag 0.9795 0.5014 0.1683  6 Ag 2.79-3.03, 2 Cd 2.83-2.84, 1 Li 2.92

As for the symmetry: No. 36. For the formation energy, the calculation gives 0.30 kcal/mol of atoms. Its polymorph energy (0 for the lowest one) is 90 meV/atom.

=====

## LiLaSnSe3 (PBE-GGA)

Data for an optimized crystal structure of LiLaSnSe3.

Unit cell a=8.9023 b=4.1160 c=9.1653 alpha=90.00 beta=99.79 gamma=90.00
With the nearest neighbours (Å) after each atom.
Element x y z (fractional)
Li 0.0974 0.2500 0.0900  4 Se 2.56-2.59
Li 0.9026 0.7500 0.9100  4 Se 2.56-2.59
La 0.1656 0.2500 0.7200  7 Se 3.05-3.15
La 0.8344 0.7500 0.2800  7 Se 3.05-3.15
Sn 0.3421 0.7500 0.3411  5 Se 2.80-3.06
Sn 0.6579 0.2500 0.6589  5 Se 2.80-3.06
Se 0.1012 0.2500 0.3737  1 Li 2.59
Se 0.1959 0.7500 0.9692  3 Li 2.56-2.58
Se 0.4020 0.7500 0.6510  3 Sn 2.80-3.06, 2 La 3.08
Se 0.5980 0.2500 0.3490  3 Sn 2.80-3.06, 2 La 3.08
Se 0.8041 0.2500 0.0308  3 Li 2.56-2.58
Se 0.8988 0.7500 0.6263  1 Li 2.59

For the formation energy (no corrections), the calculation gives -7.62 eV/f.u. As for the symmetry: No. 11.

=====

Listing V for the structures above in their given order: 22.02 16.45 10.60 16.33 32.05 25.54 42.76 18.95 27.02 24.23 19.80 27.58 Å³ per atom.
Listing DFT total energy for the structures above in their given order: -8.1763 -4.9436 -4.6447 -8.0894 -2.8160 -4.9476 -4.1181 -4.6410 -7.6056 -2.4112 -2.1639 -4.8200 eV/atom.